Entry 1:
The following is a DFT calculation (PBE) of crystalline BeSn2B2 at its relaxed geometry.

abc: 2.956 2.956 8.699
angles: 80.22 80.22 90.00
Fractional positions:
Be1 0.000 0.000 0.000
Sn1 0.613 0.613 0.773
B1 0.250 0.750 0.500
B2 0.750 0.250 0.500
Sn2 0.387 0.387 0.227

Computed properties:
DOS(E_F) ... 1.18 states/eV per cell
Energy above the most stable polymorph in this dataset ... 0.15 eV/f.u.
DFT total energy ... -3.98 eV/atom
DFT formation energy ... 23.864 kcal/mol of atoms
Volume ... 14.8 A^3/atom

---

Entry 2:
The following is a DFT calculation (PBE) of crystalline BeSn2BTe at its relaxed geometry.

abc: 5.885 4.294 5.885
angles: 90.00 90.00 90.00
Fractional positions:
Sn1 0.500 0.000 0.000
Sn2 0.000 0.000 0.500
Be1 0.500 0.500 0.500
Te1 0.000 0.000 0.000
B1 0.000 0.500 0.000

Computed properties:
DOS(E_F) ... 3.72 states/eV per cell
DFT total energy ... -2.75 eV/atom
ΔE_f (raw) ... 1.56 eV per atom
Volume ... 29.7 A^3/atom

---

Entry 3:
The following is a DFT calculation (PBE) of crystalline SrBeB12 at its relaxed geometry.

abc: 4.154 4.154 8.294
angles: 90.00 90.00 90.00
Site moments in Bohr magnetons follow the coordinates.
Fractional positions:
B1 0.500 0.500 0.099  0.00
B2 0.500 0.201 0.246  0.00
B3 0.799 0.500 0.754  0.00
B4 0.500 0.500 0.602  0.00
B5 0.799 0.500 0.246  0.00
B6 0.500 0.799 0.246  0.00
B7 0.500 0.799 0.754  0.00
B8 0.201 0.500 0.754  0.00
B9 0.500 0.500 0.398  0.00
B10 0.500 0.201 0.754  0.00
Sr1 0.000 0.000 0.500  0.00
B11 0.201 0.500 0.246  0.00
B12 0.500 0.500 0.901  0.00
Be1 0.000 0.000 0.000  0.13

Computed properties:
DOS(E_F) ... 2.22 states/eV per cell
DFT total energy ... -6.03 eV/atom
DFT formation energy ... 1.766 kcal/mol of atoms
Volume ... 10.2 A^3/atom